Record 1
# MgCd2

A relaxed MgCd2 crystal (PBE, Alexandria via LeMat-Bulk).

Lattice parameters (Å, degrees): 3.1939 3.1939 15.0565 90.00 90.00 120.00
With the nearest neighbours (Å) after each atom.
Atoms (fractional coordinates):
Mg: 0.3333 0.6667 0.2500  6 Cd 3.09, 6 Mg 3.19
Mg: 0.6667 0.3333 0.7500  6 Cd 3.09, 6 Mg 3.19
Cd: 0.3333 0.6667 0.5857  3 Mg 3.09, 9 Cd 3.17-3.19
Cd: 0.3333 0.6667 0.9143  3 Mg 3.09, 9 Cd 3.17-3.19
Cd: 0.6667 0.3333 0.0857  3 Mg 3.09, 9 Cd 3.17-3.19
Cd: 0.6667 0.3333 0.4143  3 Mg 3.09, 9 Cd 3.17-3.19

Values from the calculation:
Symmetry: P6_3/mmc, No. 194

---

Record 2
# Li3BeRe

A relaxed Li3BeRe crystal (PBE, Alexandria via LeMat-Bulk).

Lattice parameters (Å, degrees): 4.8452 4.8452 4.8452 90.00 90.00 90.00
With the nearest neighbours (Å) after each atom.
Atoms (fractional coordinates):
Li: 0.0000 0.0000 0.5000  2 Re 2.42
Li: 0.0000 0.5000 0.0000  2 Re 2.42
Li: 0.5000 0.0000 0.0000  2 Re 2.42
Be: 0.5000 0.5000 0.5000  12 Li 3.43
Re: 0.0000 0.0000 0.0000  6 Li 2.42

Values from the calculation:
Symmetry: Pm-3m, No. 221
Energy relative to the lowest polymorph listed for this composition (meV per atom): 535

---

| no. | energy relative to the elements (eV per atom) |
| --- | --- |
| 1 | -0.035 |
| 2 | 1.749 |